No. 1
Material: TaBe2Te
Method: DFT, PBE
State: relaxed

abc: 8.0501 8.0501 8.0501
angles: 22.34 22.34 22.34
With the nearest neighbours (Å) after each atom.
Fractional coordinates of all 4 atoms:
Be 0.0003 0.0003 0.0003  3 Te 2.66, 3 Ta 2.67
Be 0.4997 0.4997 0.4997  3 Te 2.66, 3 Ta 2.67
Te 0.7500 0.7500 0.7500  6 Be 2.66
Ta 0.2500 0.2500 0.2500  6 Be 2.67

- Raw formation energy: 0.67 eV per atom
- Space-group type: No. 166
- Crystal system: trigonal

---

No. 2
Material: Ta2BeTe
Method: DFT, PBE
State: relaxed

abc: 5.3350 5.3350 7.4521
angles: 69.03 69.03 90.00
With the nearest neighbours (Å) after each atom.
Fractional coordinates of all 8 atoms:
Be 0.5000 0.5000 0.0000  4 Ta 2.24
Be 0.2500 0.7500 0.5000  4 Ta 2.24
Te 0.0000 0.0000 0.0000  4 Ta 2.79
Te 0.7500 0.2500 0.5000  4 Ta 2.79
Ta 0.5272 0.1250 0.2500  2 Be 2.24
Ta 0.2228 0.6250 0.2500  2 Be 2.24
Ta 0.3750 0.4728 0.7500  2 Be 2.24
Ta 0.8750 0.7772 0.7500  2 Be 2.24

- Raw formation energy: 1.05 eV per atom
- Space-group type: No. 122
- Crystal system: tetragonal
- Excess energy over the best structure of this formula in the dataset: 0.9316 eV per atom

---

No. 3
Material: Ta2BeTe
Method: DFT, PBE
State: relaxed

abc: 6.7981 6.7981 6.7981
angles: 30.52 30.52 30.52
With the nearest neighbours (Å) after each atom.
Fractional coordinates of all 4 atoms:
Be 0.7500 0.7500 0.7500  6 Ta 2.36
Te 0.2500 0.2500 0.2500  6 Ta 2.94
Ta 0.0241 0.0241 0.0241  3 Be 2.36
Ta 0.4759 0.4759 0.4759  3 Be 2.36

- Raw formation energy: 0.13 eV per atom
- Space-group type: No. 166
- Crystal system: trigonal
- Excess energy over the best structure of this formula in the dataset: 0.0119 eV per atom